1.
An optimized crystal structure of K2YCr, computed with GGA-PBE.

a b c (Å): 6.087 6.087 6.087
angles (deg): 60.00 60.00 60.00
Site moments in Bohr magnetons follow the coordinates.
Sites, in units of the cell vectors:
1 Cr 0.000 0.000 0.000  4.12
2 K 0.750 0.750 0.750  0.01
3 K 0.250 0.250 0.250  0.01
4 Y 0.500 0.500 0.500  0.03

Calculated values
M_tot in μB per cell: 5.15
Final energy in eV for the cell shown: -13.7
DOS(E_F) in states/eV/cell: 6.3



2.
An optimized crystal structure of Nd2FeBr, computed with GGA-PBE.

a b c (Å): 3.947 3.947 8.339
angles (deg): 76.31 76.31 60.00
Site moments in Bohr magnetons follow the coordinates.
Sites, in units of the cell vectors:
1 Br 0.500 0.500 0.500  0.00
2 Nd 0.266 0.266 0.201  -0.14
3 Nd 0.734 0.734 0.799  -0.14
4 Fe 0.000 0.000 0.000  1.21

Calculated values
M_tot in μB per cell: 0.71
Final energy in eV for the cell shown: -21.6
DOS(E_F) in states/eV/cell: 3.7
Raw formation energy in eV/atom: -0.4729



3.
An optimized crystal structure of TbPmMg2Hg4, computed with GGA-PBE.

a b c (Å): 5.113 5.113 8.887
angles (deg): 73.28 73.28 60.00
Sites, in units of the cell vectors:
1 Hg 0.126 0.126 0.621
2 Hg 0.377 0.377 0.869
3 Hg 0.874 0.874 0.379
4 Hg 0.623 0.623 0.131
5 Mg 0.750 0.750 0.749
6 Mg 0.250 0.250 0.251
7 Pm 0.000 0.000 0.000
8 Tb 0.500 0.500 0.500

Calculated values
M_tot in μB per cell: 0.00
Final energy in eV for the cell shown: -17.5
DOS(E_F) in states/eV/cell: 2.5



4.
An optimized crystal structure of Ce2CuPdSe5, computed with GGA-PBE.

a b c (Å): 4.037 9.163 10.810
angles (deg): 90.00 90.00 102.73
Site moments in Bohr magnetons follow the coordinates.
Sites, in units of the cell vectors:
1 Se 0.526 0.052 0.799  -0.03
2 Se 0.019 0.038 0.061  -0.03
3 Se 0.304 0.608 0.654  -0.01
4 Se 0.643 0.286 0.494  -0.03
5 Se 0.474 0.948 0.299  -0.03
6 Se 0.720 0.439 0.838  0.00
7 Se 0.280 0.561 0.338  0.00
8 Se 0.357 0.714 0.994  -0.03
9 Se 0.981 0.962 0.561  -0.03
10 Se 0.696 0.392 0.154  -0.01
11 Cu 0.590 0.179 0.001  -0.02
12 Cu 0.410 0.821 0.501  -0.02
13 Pd 0.199 0.398 0.990  0.00
14 Pd 0.801 0.602 0.490  0.00
15 Ce 0.901 0.801 0.795  0.45
16 Ce 0.099 0.199 0.295  0.45
17 Ce 0.871 0.743 0.192  0.33
18 Ce 0.129 0.257 0.692  0.33

Calculated values
M_tot in μB per cell: 1.39
Final energy in eV for the cell shown: -97.0
DOS(E_F) in states/eV/cell: 18.5
Raw formation energy in eV/atom: -1.1040



5.
An optimized crystal structure of SrTlGa4, computed with GGA-PBE.

a b c (Å): 5.846 5.846 5.846
angles (deg): 60.00 60.00 60.00
Sites, in units of the cell vectors:
1 Ga 0.625 0.625 0.625
2 Ga 0.124 0.625 0.625
3 Ga 0.625 0.625 0.124
4 Ga 0.625 0.124 0.625
5 Sr 0.250 0.250 0.250
6 Tl 0.000 0.000 0.000

Calculated values
M_tot in μB per cell: 0.00
Final energy in eV for the cell shown: -17.3
DOS(E_F) in states/eV/cell: 2.3



6.
An optimized crystal structure of AgIrBr2, computed with GGA-PBE.

a b c (Å): 4.873 4.873 4.873
angles (deg): 60.00 60.00 60.00
Site moments in Bohr magnetons follow the coordinates.
Sites, in units of the cell vectors:
1 Ir 0.500 0.500 0.500  1.53
2 Ag 0.000 0.000 0.000  0.02
3 Br 0.250 0.250 0.250  0.20
4 Br 0.750 0.750 0.750  0.20

Calculated values
M_tot in μB per cell: 2.02
Final energy in eV for the cell shown: -11.7
DOS(E_F) in states/eV/cell: 1.6
Raw formation energy in eV/atom: 0.8318



7.
An optimized crystal structure of CdCu4Au, computed with GGA-PBE.

a b c (Å): 4.969 4.969 4.969
angles (deg): 60.00 60.00 60.00
Sites, in units of the cell vectors:
1 Cu 0.625 0.625 0.625
2 Cu 0.125 0.625 0.625
3 Cu 0.625 0.125 0.625
4 Cu 0.625 0.625 0.125
5 Au 0.250 0.250 0.250
6 Cd 0.000 0.000 0.000

Calculated values
M_tot in μB per cell: 0.00
Final energy in eV for the cell shown: -20.6
DOS(E_F) in states/eV/cell: 2.4



8.
An optimized crystal structure of TbPm4Y15, computed with GGA-PBE.

a b c (Å): 5.075 5.075 25.314
angles (deg): 90.00 90.00 90.00
Sites, in units of the cell vectors:
1 Pm 0.000 0.000 0.400
2 Pm 0.000 0.000 0.200
3 Pm 0.000 0.000 0.600
4 Pm 0.000 0.000 0.800
5 Y 0.500 0.500 0.199
6 Y 0.500 0.000 0.500
7 Y 0.000 0.500 0.700
8 Y 0.500 0.000 0.700
9 Y 0.000 0.500 0.099
10 Y 0.500 0.000 0.099
11 Y 0.000 0.500 0.500
12 Y 0.000 0.500 0.901
13 Y 0.500 0.500 0.400
14 Y 0.000 0.500 0.300
15 Y 0.500 0.000 0.300
16 Y 0.500 0.500 0.600
17 Y 0.500 0.000 0.901
18 Y 0.500 0.500 0.000
19 Y 0.500 0.500 0.801
20 Tb 0.000 0.000 0.000

Calculated values
M_tot in μB per cell: 0.00
Final energy in eV for the cell shown: -120.2
DOS(E_F) in states/eV/cell: 28.9



9.
An optimized crystal structure of SrMg2AgO4, computed with GGA-PBE.

a b c (Å): 3.176 5.933 11.839
angles (deg): 90.00 90.00 105.52
Site moments in Bohr magnetons follow the coordinates.
Sites, in units of the cell vectors:
1 O 0.519 0.037 0.750  0.29
2 O 0.236 0.472 0.397  0.06
3 O 0.481 0.963 0.250  0.29
4 O 0.000 0.000 0.000  0.11
5 O 0.236 0.472 0.103  0.06
6 O 0.764 0.528 0.897  0.06
7 O 0.764 0.528 0.603  0.06
8 O 0.000 0.000 0.500  0.11
9 Sr 0.830 0.659 0.250  0.01
10 Sr 0.170 0.341 0.750  0.01
11 Ag 0.101 0.202 0.250  0.25
12 Ag 0.899 0.798 0.750  0.25
13 Mg 0.370 0.739 0.522  0.00
14 Mg 0.370 0.739 0.978  0.00
15 Mg 0.630 0.261 0.022  0.00
16 Mg 0.630 0.261 0.478  0.00

Calculated values
M_tot in μB per cell: 1.75
Final energy in eV for the cell shown: -83.0
DOS(E_F) in states/eV/cell: 11.5
Raw formation energy in eV/atom: -1.7417



10.
An optimized crystal structure of BaMg2I, computed with GGA-PBE.

a b c (Å): 9.744 9.744 7.676
angles (deg): 50.60 50.60 90.00
Sites, in units of the cell vectors:
1 I 0.250 0.750 0.500
2 I 0.500 0.500 0.000
3 Ba 0.000 0.000 0.000
4 Ba 0.750 0.250 0.500
5 Mg 0.875 0.847 0.750
6 Mg 0.375 0.403 0.750
7 Mg 0.597 0.125 0.250
8 Mg 0.153 0.625 0.250

Calculated values
M_tot in μB per cell: 0.00
Final energy in eV for the cell shown: -15.4
DOS(E_F) in states/eV/cell: 6.0
Raw formation energy in eV/atom: -0.2589



11.
An optimized crystal structure of RbLaSiTe, computed with GGA-PBE.

a b c (Å): 4.977 4.977 7.422
angles (deg): 90.00 90.00 120.00
Sites, in units of the cell vectors:
1 Si 0.000 0.000 0.025
2 Rb 0.667 0.333 0.331
3 La 0.333 0.667 0.881
4 Te 0.000 0.000 0.662

Calculated values
M_tot in μB per cell: 0.00
Final energy in eV for the cell shown: -16.9
DOS(E_F) in states/eV/cell: 2.2
Raw formation energy in eV/atom: -0.6206



12.
An optimized crystal structure of V2CrAg2Te6, computed with GGA-PBE.

a b c (Å): 6.681 6.681 8.092
angles (deg): 86.80 86.80 118.82
Site moments in Bohr magnetons follow the coordinates.
Sites, in units of the cell vectors:
1 Te 0.686 0.032 0.319  -0.12
2 Te 0.314 0.968 0.681  -0.12
3 Te 0.347 0.347 0.283  -0.15
4 Te 0.032 0.686 0.319  -0.12
5 Te 0.968 0.314 0.681  -0.12
6 Te 0.653 0.653 0.717  -0.15
7 Cr 0.000 0.000 0.500  3.03
8 Ag 0.863 0.137 0.000  0.00
9 Ag 0.137 0.863 0.000  0.00
10 V 0.641 0.359 0.500  1.80
11 V 0.359 0.641 0.500  1.80

Calculated values
M_tot in μB per cell: 6.39
Final energy in eV for the cell shown: -54.3
DOS(E_F) in states/eV/cell: 5.0
Raw formation energy in eV/atom: -0.1728



13.
An optimized crystal structure of InSe, computed with GGA-PBE.

a b c (Å): 6.698 6.698 9.930
angles (deg): 49.06 49.06 33.98
Sites, in units of the cell vectors:
1 Se 0.754 0.754 0.941
2 Se 0.651 0.651 0.642
3 Se 0.036 0.036 0.410
4 In 0.427 0.427 0.673
5 In 0.270 0.270 0.379
6 In 0.029 0.029 0.122

Calculated values
M_tot in μB per cell: 0.00
Final energy in eV for the cell shown: -20.9
DOS(E_F) in states/eV/cell: 1.3
Raw formation energy in eV/atom: -0.3651



14.
An optimized crystal structure of RbGaC, computed with GGA-PBE.

a b c (Å): 3.530 3.530 5.546
angles (deg): 90.00 90.00 120.00
Sites, in units of the cell vectors:
1 Rb 0.667 0.333 0.500
2 Ga 0.000 0.000 0.000
3 C 0.333 0.667 0.000

Calculated values
M_tot in μB per cell: 0.00
Final energy in eV for the cell shown: -11.6
DOS(E_F) in states/eV/cell: 0.0